CoAg2Te | GGA-PBE | optimized geometry

As for the total energy: -3.66 eV per atom. As for the total moment: 0.38 μB per atom. The calculation puts the mass density at 9.2 g/cm³. The uncorrected formation energy comes out at 1.3 eV per formula unit.

It has space group P4/mmm (No. 123), with a = 3.9675 Å, b = 3.9675 Å, c = 4.6115 Å, α = 90.00°, β = 90.00° and γ = 90.00°. The asymmetric unit holds Co at (0.0000, 0.0000, 0.0000), Ag at (0.0000, 0.5000, 0.5000) and Te at (0.5000, 0.5000, 0.0000).